No. 1
Material: ScCd2Mo
Method: DFT, PBE
State: optimized geometry

Lattice parameters (Å, degrees): 2.9167 2.9167 9.2691 90.00 90.00 90.00
Closest atoms and distances in Å follow each position.
Element x y z (fractional)
Cd (0.0000, 0.0000, 0.0002)  8 Cd 2.92-3.18, 4 Sc 3.20
Mo (0.0000, 0.0000, 0.5024)  4 Mo 2.92, 4 Sc 2.99, 4 Cd 3.04
Cd (0.5000, 0.5000, 0.2618)  8 Cd 2.92-3.18, 4 Mo 3.04
Sc (0.5000, 0.5000, 0.7356)  4 Sc 2.92, 4 Mo 2.99, 4 Cd 3.20

Calculated values
Uncorrected energy = -4.6365 eV/atom
Energy relative to the lowest polymorph listed for this composition = 0.014 eV/atom
V = 19.71 Å³/atom
E_form = 0.112 eV/atom

No. 2
Material: ScCd2Mo
Method: DFT, PBE
State: optimized geometry

Lattice parameters (Å, degrees): 4.8142 4.8142 4.8142 60.00 60.00 60.00
Closest atoms and distances in Å follow each position.
Element x y z (fractional)
Cd (0.2500, 0.2500, 0.2500)  4 Mo 2.95, 4 Sc 2.95
Mo (0.5000, 0.5000, 0.5000)  8 Cd 2.95
Cd (0.7500, 0.7500, 0.7500)  4 Mo 2.95, 4 Sc 2.95
Sc (0.0000, 0.0000, 0.0000)  8 Cd 2.95

Calculated values
Uncorrected energy = -4.4776 eV/atom
Energy relative to the lowest polymorph listed for this composition = 0.173 eV/atom
V = 19.72 Å³/atom
E_form = 0.271 eV/atom

No. 3
Material: ScCd2Mo
Method: DFT, PBE
State: optimized geometry

Lattice parameters (Å, degrees): 5.3480 5.3480 5.3480 133.98 133.98 67.13
Closest atoms and distances in Å follow each position.
Element x y z (fractional)
Cd (0.0000, 0.0000, 0.0000)  4 Mo 2.96, 4 Sc 3.06, 4 Cd 3.06
Sc (0.7500, 0.2500, 0.5000)  8 Cd 2.96-3.06, 4 Mo 3.06
Cd (0.2500, 0.7500, 0.5000)  4 Sc 2.96, 4 Cd 3.06, 4 Mo 3.06
Mo (0.5000, 0.5000, 0.0000)  8 Cd 2.96-3.06, 4 Sc 3.06

Calculated values
Uncorrected energy = -4.5306 eV/atom
Energy relative to the lowest polymorph listed for this composition = 0.120 eV/atom
V = 19.48 Å³/atom
E_form = 0.218 eV/atom

No. 4
Material: Sc2CdMo
Method: DFT, PBE
State: optimized geometry

Lattice parameters (Å, degrees): 2.9727 2.9727 9.1237 90.00 90.00 90.00
Closest atoms and distances in Å follow each position.
Element x y z (fractional)
Mo (0.5000, 0.5000, 0.7500)  4 Mo 2.97, 8 Sc 2.99
Sc (0.0000, 0.0000, 0.9825)  4 Sc 2.97, 4 Mo 2.99, 4 Cd 3.22
Cd (0.5000, 0.5000, 0.2500)  4 Cd 2.97, 8 Sc 3.22
Sc (0.0000, 0.0000, 0.5175)  4 Sc 2.97, 4 Mo 2.99, 4 Cd 3.22

Calculated values
Uncorrected energy = -6.0990 eV/atom
V = 20.16 Å³/atom
E_form = 0.003 eV/atom

No. 5
Material: ScCd2Mo
Method: DFT, PBE
State: optimized geometry

Lattice parameters (Å, degrees): 4.8260 4.8260 4.8260 60.00 60.00 60.00
Closest atoms and distances in Å follow each position.
Element x y z (fractional)
Sc (0.7500, 0.7500, 0.7500)  4 Cd 2.96, 4 Mo 2.96
Mo (0.5000, 0.5000, 0.5000)  4 Cd 2.96, 4 Sc 2.96
Cd (0.2500, 0.2500, 0.2500)  4 Cd 2.96, 4 Mo 2.96
Cd (0.0000, 0.0000, 0.0000)  4 Sc 2.96, 4 Cd 2.96

Calculated values
Uncorrected energy = -4.3728 eV/atom
Energy relative to the lowest polymorph listed for this composition = 0.278 eV/atom
V = 19.87 Å³/atom
E_form = 0.375 eV/atom

No. 6
Material: Sc3CdMo
Method: DFT, PBE
State: optimized geometry

Lattice parameters (Å, degrees): 5.0599 5.0599 5.0599 90.00 90.00 90.00
Closest atoms and distances in Å follow each position.
Element x y z (fractional)
Cd (0.5000, 0.5000, 0.5000)  12 Sc 3.58
Sc (0.0000, 0.5000, 0.0000)  2 Mo 2.53
Sc (0.0000, 0.0000, 0.5000)  2 Mo 2.53
Mo (0.0000, 0.0000, 0.0000)  6 Sc 2.53
Sc (0.5000, 0.0000, 0.0000)  2 Mo 2.53

Calculated values
Uncorrected energy = -5.7538 eV/atom
Energy relative to the lowest polymorph listed for this composition = 0.000 eV/atom
V = 25.91 Å³/atom
E_form = 0.394 eV/atom

No. 7
Material: ScCd2Mo
Method: DFT, PBE
State: optimized geometry

Lattice parameters (Å, degrees): 5.2854 5.2854 2.9968 89.98 89.98 113.36
Closest atoms and distances in Å follow each position.
Element x y z (fractional)
Cd (0.0000, 0.0000, 0.0000)  4 Cd 2.90-3.00, 4 Sc 3.04, 4 Mo 3.04
Cd (0.5000, 0.5000, 0.0000)  4 Cd 2.90-3.00, 4 Mo 3.04, 4 Sc 3.04
Sc (0.0000, 0.5000, 0.5000)  2 Mo 2.90, 2 Sc 3.00, 8 Cd 3.04
Mo (0.5000, 0.0000, 0.5000)  2 Sc 2.90, 2 Mo 3.00, 8 Cd 3.04

Calculated values
Uncorrected energy = -4.6038 eV/atom
Energy relative to the lowest polymorph listed for this composition = 0.047 eV/atom
V = 19.21 Å³/atom
E_form = 0.144 eV/atom

No. 8
Material: Sc2CdMo
Method: DFT, PBE
State: optimized geometry

Lattice parameters (Å, degrees): 3.0034 3.0034 9.3017 90.00 90.00 104.70
Closest atoms and distances in Å follow each position.
Element x y z (fractional)
Cd (0.5000, 0.5000, 0.2500)  4 Cd 3.00, 4 Sc 3.14
Sc (0.0000, 0.0000, 0.5241)  2 Mo 2.79, 4 Sc 3.00
Mo (0.5000, 0.5000, 0.7500)  4 Sc 2.79, 4 Mo 3.00
Sc (0.0000, 0.0000, 0.9759)  2 Mo 2.79, 4 Sc 3.00

Calculated values
Uncorrected energy = -6.1235 eV/atom
V = 20.29 Å³/atom
E_form = -0.021 eV/atom

No. 9
Material: Sc2CdMo
Method: DFT, PBE
State: optimized geometry

Lattice parameters (Å, degrees): 2.9383 2.9383 9.4614 90.00 90.00 95.26
Closest atoms and distances in Å follow each position.
Element x y z (fractional)
Sc (0.5000, 0.5000, 0.2610)  4 Sc 2.94, 4 Cd 3.10-3.23
Mo (0.5000, 0.5000, 0.7484)  4 Sc 2.94-3.07, 4 Mo 2.94, 4 Cd 2.98-3.11
Cd (0.0000, 0.0000, 0.5132)  4 Cd 2.94, 4 Mo 2.98-3.11, 4 Sc 3.10-3.23
Sc (0.0000, 0.0000, 0.9774)  4 Mo 2.94-3.07, 4 Sc 2.94

Calculated values
Uncorrected energy = -5.9285 eV/atom
V = 20.33 Å³/atom
E_form = 0.174 eV/atom

No. 10
Material: ScCd2Mo
Method: DFT, PBE
State: optimized geometry

Lattice parameters (Å, degrees): 3.0077 4.4340 5.7908 90.00 90.00 90.00
Closest atoms and distances in Å follow each position.
Element x y z (fractional)
Cd (0.0000, 0.0000, 0.0091)  4 Cd 2.79-3.01, 4 Mo 3.02, 4 Sc 3.07
Cd (0.0000, 0.0000, 0.4909)  4 Cd 2.79-3.01, 4 Mo 3.02, 4 Sc 3.07
Sc (0.5000, 0.5000, 0.7500)  2 Mo 2.90, 2 Sc 3.01, 8 Cd 3.07
Mo (0.5000, 0.5000, 0.2500)  2 Sc 2.90, 2 Mo 3.01, 8 Cd 3.02

Calculated values
Uncorrected energy = -4.5954 eV/atom
Energy relative to the lowest polymorph listed for this composition = 0.055 eV/atom
V = 19.31 Å³/atom
E_form = 0.153 eV/atom

No. 11
Material: ScCd2Mo
Method: DFT, PBE
State: optimized geometry

Lattice parameters (Å, degrees): 3.6675 3.6675 5.8428 90.00 90.00 90.00
Closest atoms and distances in Å follow each position.
Element x y z (fractional)
Cd (0.0000, 0.0000, 0.0108)  2 Cd 2.80-3.05, 4 Mo 2.95, 4 Sc 3.01
Mo (0.5000, 0.5000, 0.2500)  2 Sc 2.92, 8 Cd 2.95
Sc (0.5000, 0.5000, 0.7500)  2 Mo 2.92, 8 Cd 3.01
Cd (0.0000, 0.0000, 0.4892)  2 Cd 2.80-3.05, 4 Mo 2.95, 4 Sc 3.01

Calculated values
Uncorrected energy = -4.5067 eV/atom
Energy relative to the lowest polymorph listed for this composition = 0.144 eV/atom
V = 19.65 Å³/atom
E_form = 0.242 eV/atom

No. 12
Material: ScCd2Mo
Method: DFT, PBE
State: optimized geometry

Lattice parameters (Å, degrees): 5.8128 5.8128 5.8128 149.13 127.70 61.97
Closest atoms and distances in Å follow each position.
Element x y z (fractional)
Sc (0.7379, 0.2379, 0.5000)  2 Mo 2.81, 6 Cd 3.00-3.08, 2 Sc 3.09
Mo (0.5030, 0.5030, 0.0000)  2 Sc 2.81, 6 Cd 2.92-2.99, 2 Mo 3.09
Cd (0.0048, 0.0048, 0.0000)  4 Cd 2.93-3.09, 4 Mo 2.99, 2 Sc 3.08
Cd (0.2543, 0.7543, 0.5000)  2 Mo 2.92, 4 Cd 2.93-3.09, 4 Sc 3.00

Calculated values
Uncorrected energy = -4.5466 eV/atom
Energy relative to the lowest polymorph listed for this composition = 0.104 eV/atom
V = 19.75 Å³/atom
E_form = 0.202 eV/atom

Number 1: density of states at the Fermi level 2.7 states/eV/cell. Number 2: density of states at the Fermi level 2.4 states/eV/cell. Number 3: density of states at the Fermi level 3.5 states/eV/cell. Number 4: density of states at the Fermi level 2.9 states/eV/cell. Number 5: density of states at the Fermi level 6.6 states/eV/cell. Number 6: density of states at the Fermi level 6.5 states/eV/cell. Number 7: density of states at the Fermi level 2.9 states/eV/cell. Number 8: density of states at the Fermi level 4.5 states/eV/cell. Number 9: density of states at the Fermi level 4.5 states/eV/cell. Number 10: density of states at the Fermi level 3.7 states/eV/cell. Number 11: density of states at the Fermi level 3.9 states/eV/cell. Number 12: density of states at the Fermi level 2.9 states/eV/cell.